Record 1
DFT (PBE) results for a geometry-optimized Th2CoB10 structure.

Lattice parameters (Å, degrees): 5.6111 11.2014 4.1736 90.00 90.00 90.00
With the nearest neighbours (Å) after each atom.
Element x y z (fractional)
B 0.0346 0.1871 0.0000  4 B 1.67-1.77
B 0.6270 0.9599 0.0000  4 B 1.68-1.78
B 0.3730 0.0401 0.0000  4 B 1.68-1.78
B 0.6524 0.8028 0.0000  5 B 1.67-1.77
B 0.4654 0.6871 0.0000  4 B 1.67-1.77
B 0.7992 0.8865 0.6999  4 B 1.67-1.78
B 0.8476 0.3028 0.0000  5 B 1.67-1.77
B 0.1524 0.6972 0.0000  5 B 1.67-1.77
B 0.7992 0.8865 0.3001  4 B 1.67-1.78
B 0.2008 0.1135 0.3001  4 B 1.67-1.78
B 0.1270 0.5401 0.0000  4 B 1.68-1.78
B 0.2992 0.6135 0.3001  4 B 1.67-1.78
B 0.8730 0.4599 0.0000  4 B 1.68-1.78
B 0.9654 0.8129 0.0000  4 B 1.67-1.77
B 0.7008 0.3865 0.6999  4 B 1.67-1.78
B 0.2992 0.6135 0.6999  4 B 1.67-1.78
B 0.2008 0.1135 0.6999  4 B 1.67-1.78
B 0.5346 0.3129 0.0000  4 B 1.67-1.77
B 0.3476 0.1972 0.0000  5 B 1.67-1.77
B 0.7008 0.3865 0.3001  4 B 1.67-1.78
Co 0.5000 0.5000 0.0000  8 B 2.11-2.14
Co 0.0000 0.0000 0.0000  8 B 2.11-2.14
Th 0.8022 0.6348 0.5000  20 B 2.88-3.03, 2 Co 3.08
Th 0.1978 0.3652 0.5000  20 B 2.88-3.03, 2 Co 3.08
Th 0.6978 0.1348 0.5000  20 B 2.88-3.03, 2 Co 3.08
Th 0.3022 0.8652 0.5000  20 B 2.88-3.03, 2 Co 3.08

Summary:
Total magnetic moment (μB/cell): 0.0
Calculated volume (Å³/cell): 262.3
Space-group type: Pbam
Final energy (eV per formula unit): -96.78

Record 2
DFT (PBE) results for a geometry-optimized GaAg2Ir structure.

Lattice parameters (Å, degrees): 4.4999 4.4999 4.4999 60.00 60.00 60.00
With the nearest neighbours (Å) after each atom.
Element x y z (fractional)
Ga 0.5000 0.5000 0.5000  4 Ir 2.76, 4 Ag 2.76
Ag 0.0000 0.0000 0.0000  4 Ag 2.76, 4 Ir 2.76
Ag 0.7500 0.7500 0.7500  4 Ga 2.76, 4 Ag 2.76
Ir 0.2500 0.2500 0.2500  4 Ga 2.76, 4 Ag 2.76

Summary:
Total magnetic moment (μB/cell): 0.0
Calculated volume (Å³/cell): 64.4
Space-group type: F-43m
Final energy (eV per formula unit): -17.21

Record 3
DFT (PBE) results for a geometry-optimized CdSiAg2Te2Se2 structure.

Lattice parameters (Å, degrees): 7.5869 7.5241 6.1621 66.47 65.40 48.13
With the nearest neighbours (Å) after each atom.
Element x y z (fractional)
Si 0.5091 0.5091 0.4909  2 Se 2.34, 2 Te 2.55
Cd 0.0070 0.0070 0.9930  2 Se 2.79, 2 Te 2.86
Ag 0.7394 0.7394 0.7606  2 Se 2.66, 2 Te 2.79
Ag 0.2394 0.2394 0.2606  2 Se 2.66, 2 Te 2.79
Se 0.4008 0.8403 0.5992  1 Si 2.34
Se 0.8403 0.4008 0.1597  1 Si 2.34
Te 0.6093 0.1546 0.8454  1 Si 2.55, 2 Ag 2.79
Te 0.1546 0.6093 0.3907  1 Si 2.55, 2 Ag 2.79

Summary:
Calculated volume (Å³/cell): 234.3
Excess energy over the best structure of this formula in the dataset (eV per atom): 0.007
Space-group type: Fmm2
Final energy (eV per formula unit): -27.30

Record 4
DFT (PBE) results for a geometry-optimized ZrAlNiAu structure.

Lattice parameters (Å, degrees): 4.2897 4.2897 8.4146 90.00 90.00 120.00
With the nearest neighbours (Å) after each atom.
Element x y z (fractional)
Au 0.6667 0.3333 0.4076  3 Al 2.65, 4 Ni 2.77-2.87, 4 Zr 2.82-2.84
Au 0.3333 0.6667 0.9076  3 Al 2.65, 4 Ni 2.77-2.87, 4 Zr 2.82-2.84
Al 0.0000 0.0000 0.5203  3 Ni 2.53, 3 Au 2.65
Al 0.0000 0.0000 0.0203  3 Ni 2.53, 3 Au 2.65
Ni 0.6667 0.3333 0.0790  3 Al 2.53, 1 Au 2.77, 1 Zr 2.83
Ni 0.3333 0.6667 0.5790  3 Al 2.53, 1 Au 2.77, 1 Zr 2.83
Zr 0.3333 0.6667 0.2431  4 Au 2.82-2.84, 4 Ni 2.83-2.84, 3 Al 3.11
Zr 0.6667 0.3333 0.7431  4 Au 2.82-2.84, 4 Ni 2.83-2.84, 3 Al 3.11

Summary:
Total magnetic moment (μB/cell): 0.1
Calculated volume (Å³/cell): 134.1
Space-group type: P6_3mc
Final energy (eV per formula unit): -23.50

Record 5
DFT (PBE) results for a geometry-optimized DyErGa2Ir4 structure.

Lattice parameters (Å, degrees): 4.3289 4.3289 8.9691 90.00 90.00 120.00
With the nearest neighbours (Å) after each atom.
Element x y z (fractional)
Ir 0.3333 0.6667 0.6661  3 Ga 2.61, 3 Dy 2.91
Ir 0.0000 0.0000 0.1629  3 Ga 2.62, 3 Er 2.89, 1 Ir 2.92
Ir 0.3333 0.6667 0.3339  3 Ga 2.61, 3 Dy 2.91
Ir 0.0000 0.0000 0.8371  3 Ga 2.62, 3 Er 2.89, 1 Ir 2.92
Ga 0.6667 0.3333 0.7504  6 Ir 2.61-2.62
Ga 0.6667 0.3333 0.2496  6 Ir 2.61-2.62
Dy 0.0000 0.0000 0.5000  8 Ir 2.91-3.02
Er 0.3333 0.6667 0.0000  8 Ir 2.89-3.00

Summary:
Total magnetic moment (μB/cell): 0.0
Calculated volume (Å³/cell): 145.6
Space-group type: P-6m2
Final energy (eV per formula unit): -55.31

Record 6
DFT (PBE) results for a geometry-optimized NaBiPdS3 structure.

Lattice parameters (Å, degrees): 8.2036 3.9422 9.2614 90.00 99.77 90.00
With the nearest neighbours (Å) after each atom.
Element x y z (fractional)
Na 0.1710 0.7500 0.2067  7 S 2.90-3.21
Na 0.8290 0.2500 0.7933  7 S 2.90-3.21
Pd 0.1108 0.7500 0.5932  4 S 2.36-2.50
Pd 0.8892 0.2500 0.4068  4 S 2.36-2.50
S 0.9041 0.2500 0.1397  1 Pd 2.50, 2 Bi 2.78
S 0.5916 0.7500 0.8550  3 Bi 2.64-2.89, 2 Na 2.90
S 0.8125 0.7500 0.5183  3 Pd 2.36-2.43
S 0.1875 0.2500 0.4817  3 Pd 2.36-2.43
S 0.0959 0.7500 0.8603  1 Pd 2.50, 2 Bi 2.78
S 0.4084 0.2500 0.1450  3 Bi 2.64-2.89, 2 Na 2.90
Bi 0.6661 0.7500 0.1437  5 S 2.64-2.89
Bi 0.3339 0.2500 0.8563  5 S 2.64-2.89

Summary:
Calculated volume (Å³/cell): 295.2
Space-group type: P2_1/m
Final energy (eV per formula unit): -25.52

Record 7
DFT (PBE) results for a geometry-optimized BaSrCuGe3 structure.

Lattice parameters (Å, degrees): 8.8376 8.5742 6.4667 70.38 66.05 43.57
With the nearest neighbours (Å) after each atom.
Element x y z (fractional)
Ge 0.6571 0.1705 0.3429  1 Cu 2.42, 2 Ge 2.55-2.56
Ge 0.8295 0.3429 0.1705  1 Cu 2.42, 2 Ge 2.55-2.56
Ge 0.1713 0.1713 0.8287  1 Cu 2.39, 2 Ge 2.55
Ge 0.1705 0.6571 0.8295  1 Cu 2.42, 2 Ge 2.55-2.56
Ge 0.3429 0.8295 0.6571  1 Cu 2.42, 2 Ge 2.55-2.56
Ge 0.8287 0.8287 0.1713  1 Cu 2.39, 2 Ge 2.55
Ba 0.7567 0.2433 0.7567  10 Ge 3.45-3.49, 2 Cu 3.51
Ba 0.2433 0.7567 0.2433  10 Ge 3.45-3.49, 2 Cu 3.51
Sr 0.7500 0.7500 0.7500  8 Ge 3.42-3.44, 4 Cu 3.46
Sr 0.2500 0.2500 0.2500  8 Ge 3.42-3.44, 4 Cu 3.46
Cu 0.6677 0.6677 0.3323  3 Ge 2.39-2.42
Cu 0.3323 0.3323 0.6677  3 Ge 2.39-2.42

Summary:
Calculated volume (Å³/cell): 308.0
Excess energy over the best structure of this formula in the dataset (eV per atom): 0.000
Space-group type: Fmmm
Final energy (eV per formula unit): -24.33

Record 8
DFT (PBE) results for a geometry-optimized ErCoIr structure.

Lattice parameters (Å, degrees): 4.4103 4.4103 4.4103 60.00 60.00 60.00
With the nearest neighbours (Å) after each atom.
Element x y z (fractional)
Co 0.2500 0.2500 0.2500  4 Ir 2.70
Ir 0.0000 0.0000 0.0000  4 Er 2.70, 4 Co 2.70
Er 0.7500 0.7500 0.7500  4 Ir 2.70

Summary:
Total magnetic moment (μB/cell): 2.4
Calculated volume (Å³/cell): 60.7
Calculated formation energy (eV/atom): 0.009
Space-group type: F-43m
Final energy (eV per formula unit): -20.50